First-principles (PBE) data for a relaxed Cu3Re4 crystal, as listed in Alexandria via LeMat-Bulk.

CIF file:
```
data_Cu3Re4
_space_group_name_H-M_alt 'I 4/m m m'
_space_group_IT_number 139
_space_group_name_Hall '-I 4 2'
_cell_length_a 3.1455
_cell_length_b 3.1455
_cell_length_c 19.7037
_cell_angle_alpha 90.00
_cell_angle_beta 90.00
_cell_angle_gamma 90.00
loop_
_atom_site_label
_atom_site_type_symbol
_atom_site_fract_x
_atom_site_fract_y
_atom_site_fract_z
_atom_site_occupancy
Cu1 Cu 0.0000 0.0000 0.0000 1
Cu2 Cu 0.0000 0.0000 0.2793 1
Re1 Re 0.0000 0.0000 0.1415 1
Re2 Re 0.0000 0.0000 0.4265 1
```

Summary:
Density in g cm⁻³: 15.9
Excess energy over the best structure of this formula in the dataset in meV per atom: 0
Calculated formation energy in eV per atom: 0.2567
DOS(E_F) in states/eV/atom: 0.66
Spin magnetization in Bohr magnetons per cell: 0.000